A plane-wave DFT calculation with PBE was carried out for CuTe2Pd after structural relaxation.

a b c (Å): 6.7840 6.7840 6.7840
angles (deg): 33.69 33.69 33.69
Atoms (fractional coordinates):
Te 0.7495 0.7495 0.7495
Te 0.2505 0.2505 0.2505
Cu 0.0000 0.0000 0.0000
Pd 0.5000 0.5000 0.5000

Output
ΔE_f (raw)   -0.14 eV per atom
Volume   85.57 Å³ per cell

A plane-wave DFT calculation with PBE was carried out for Cu2TePd9 after structural relaxation.

a b c (Å): 3.9573 3.9573 11.8547
angles (deg): 90.00 90.00 90.00
Atoms (fractional coordinates):
Cu 0.0000 0.0000 0.3406
Cu 0.0000 0.0000 0.6594
Te 0.0000 0.0000 0.0000
Pd 0.5000 0.5000 0.0000
Pd 0.5000 0.5000 0.3398
Pd 0.5000 0.5000 0.6602
Pd 0.5000 0.0000 0.1783
Pd 0.5000 0.0000 0.5000
Pd 0.5000 0.0000 0.8217
Pd 0.0000 0.5000 0.1783
Pd 0.0000 0.5000 0.5000
Pd 0.0000 0.5000 0.8217

Output
ΔE_f (raw)   -0.10 eV per atom
Volume   185.64 Å³ per cell

A plane-wave DFT calculation with PBE was carried out for CuTe2Pd8 after structural relaxation.

a b c (Å): 4.0609 7.6528 7.4085
angles (deg): 121.10 105.91 90.00
Atoms (fractional coordinates):
Te 0.1709 0.6709 0.3419
Te 0.8291 0.3291 0.6581
Pd 0.6612 0.9040 0.3224
Pd 0.3388 0.5817 0.6776
Pd 0.1521 0.1521 0.3042
Pd 0.0000 0.2686 0.0000
Pd 0.8479 0.8479 0.6958
Pd 0.6612 0.4183 0.3224
Pd 0.3388 0.0960 0.6776
Pd 0.0000 0.7314 0.0000
Cu 0.5000 0.0000 0.0000

Output
ΔE_f (raw)   -0.20 eV per atom
Volume   186.78 Å³ per cell
ΔE to the lowest computed polymorph   2 kJ/mol of formula units

A plane-wave DFT calculation with PBE was carried out for CuTe4Pd after structural relaxation.

a b c (Å): 4.2031 7.1549 7.0198
angles (deg): 127.74 90.00 90.00
Atoms (fractional coordinates):
Cu 0.0000 0.5000 0.5000
Te 0.0000 0.2635 0.6837
Te 0.0000 0.7365 0.3163
Te 0.5000 0.2578 0.1842
Te 0.5000 0.7422 0.8158
Pd 0.5000 0.5000 0.0000

Output
ΔE_f (raw)   -0.13 eV per atom
Volume   166.94 Å³ per cell
ΔE to the lowest computed polymorph   22 kJ/mol of formula units

A plane-wave DFT calculation with PBE was carried out for Cu2TePd2 after structural relaxation.

a b c (Å): 7.2352 7.2352 3.1239
angles (deg): 90.00 90.00 90.00
Atoms (fractional coordinates):
Te 0.0000 0.0000 0.0000
Te 0.5000 0.5000 0.0000
Cu 0.1463 0.6463 0.5000
Cu 0.6463 0.8537 0.5000
Cu 0.8537 0.3537 0.5000
Cu 0.3537 0.1463 0.5000
Pd 0.3541 0.8541 0.0000
Pd 0.8541 0.6459 0.0000
Pd 0.6459 0.1459 0.0000
Pd 0.1459 0.3541 0.0000

Output
ΔE_f (raw)   -0.03 eV per atom
Volume   163.53 Å³ per cell
ΔE to the lowest computed polymorph   0 kJ/mol of formula units

A plane-wave DFT calculation with PBE was carried out for CuTe2Pd8 after structural relaxation.

a b c (Å): 4.1627 6.2231 7.7907
angles (deg): 107.35 105.50 90.00
Atoms (fractional coordinates):
Cu 0.5000 0.0000 0.0000
Te 0.8068 0.3375 0.6135
Te 0.1932 0.6625 0.3865
Pd 0.4155 0.5517 0.8311
Pd 0.6739 0.9329 0.3478
Pd 0.8555 0.7953 0.7110
Pd 0.9656 0.2468 0.9313
Pd 0.1445 0.2047 0.2890
Pd 0.3261 0.0671 0.6522
Pd 0.5845 0.4483 0.1689
Pd 0.0344 0.7532 0.0687

Output
ΔE_f (raw)   -0.20 eV per atom
Volume   184.94 Å³ per cell
ΔE to the lowest computed polymorph   0 kJ/mol of formula units

A plane-wave DFT calculation with PBE was carried out for CuTe2Pd after structural relaxation.

a b c (Å): 7.8421 6.7694 4.0824
angles (deg): 107.55 74.86 115.99
Atoms (fractional coordinates):
Cu 0.4449 0.2032 0.9435
Cu 0.9986 0.2712 0.7049
Te 0.2541 0.4663 0.1726
Te 0.1894 0.0081 0.4758
Te 0.8052 0.5380 0.9331
Te 0.6383 0.9364 0.7153
Pd 0.2216 0.7372 0.8242
Pd 0.7217 0.2372 0.3242

Output
ΔE_f (raw)   -0.18 eV per atom
Volume   183.61 Å³ per cell

A plane-wave DFT calculation with PBE was carried out for Cu5TePd6 after structural relaxation.

a b c (Å): 4.0788 7.3399 7.3399
angles (deg): 112.79 106.15 106.15
Atoms (fractional coordinates):
Te 0.0000 0.0000 0.0000
Pd 0.2519 0.0851 0.4190
Pd 0.7481 0.5810 0.9149
Pd 0.7622 0.2626 0.2626
Pd 0.2378 0.7374 0.7374
Pd 0.2519 0.4190 0.0851
Pd 0.7481 0.9149 0.5810
Cu 0.5000 0.1774 0.8226
Cu 0.0000 0.3300 0.6700
Cu 0.5000 0.5000 0.5000
Cu 0.0000 0.6700 0.3300
Cu 0.5000 0.8226 0.1774

Output
ΔE_f (raw)   -0.16 eV per atom
Volume   175.15 Å³ per cell

A plane-wave DFT calculation with PBE was carried out for Cu3TePd3 after structural relaxation.

a b c (Å): 6.1934 6.1934 5.8168
angles (deg): 90.00 90.00 91.89
Atoms (fractional coordinates):
Cu 0.2800 0.2800 0.5001
Cu 0.2724 0.7276 0.5000
Cu 0.7276 0.2724 0.5000
Cu 0.2641 0.7359 0.0000
Cu 0.7359 0.2641 0.0000
Cu 0.7200 0.7200 0.4999
Te 0.2781 0.2781 0.9998
Te 0.7219 0.7219 0.0002
Pd 0.0000 0.0000 0.7478
Pd 0.4999 0.0001 0.2589
Pd 0.0001 0.4999 0.2589
Pd 0.5001 0.9999 0.7411
Pd 0.9999 0.5001 0.7411
Pd 0.0000 0.0000 0.2522

Output
ΔE_f (raw)   -0.07 eV per atom
Volume   223.00 Å³ per cell

A plane-wave DFT calculation with PBE was carried out for Tl2CuTe2Pd after structural relaxation.

a b c (Å): 6.1780 6.2486 9.5393
angles (deg): 109.12 108.89 90.00
Atoms (fractional coordinates):
Tl 0.4003 0.1681 0.3363
Tl 0.5997 0.8319 0.6637
Tl 0.0641 0.3319 0.6637
Tl 0.9359 0.6681 0.3363
Cu 0.5000 0.7500 0.0000
Cu 0.5000 0.2500 0.0000
Te 0.8312 0.0951 0.1902
Te 0.3590 0.5951 0.1902
Te 0.6410 0.4049 0.8098
Te 0.1688 0.9049 0.8098
Pd 0.0000 0.7500 0.0000
Pd 0.0000 0.2500 0.0000

Output
ΔE_f (raw)   -0.20 eV per atom
Volume   326.87 Å³ per cell

A plane-wave DFT calculation with PBE was carried out for Y2CuTePd after structural relaxation.

a b c (Å): 5.3656 4.7028 5.3656
angles (deg): 90.00 90.00 90.00
Atoms (fractional coordinates):
Y 0.0000 0.0000 0.5000
Y 0.5000 0.0000 0.0000
Te 0.5000 0.5000 0.5000
Cu 0.0000 0.5000 0.0000
Pd 0.0000 0.0000 0.0000

Output
ΔE_f (raw)   -0.38 eV per atom
Volume   135.39 Å³ per cell

A plane-wave DFT calculation with PBE was carried out for ZnCuTe2Pd after structural relaxation.

a b c (Å): 5.2141 4.4777 5.2141
angles (deg): 90.00 90.00 90.00
Atoms (fractional coordinates):
Zn 0.0000 0.0000 0.0000
Te 0.0000 0.0000 0.5000
Te 0.5000 0.0000 0.0000
Cu 0.0000 0.5000 0.0000
Pd 0.5000 0.5000 0.5000

Output
ΔE_f (raw)   0.63 eV per atom
Volume   121.73 Å³ per cell

A plane-wave DFT calculation with PBE was carried out for ThCuPd4 after structural relaxation.

a b c (Å): 5.3510 5.3510 5.3510
angles (deg): 60.00 60.00 60.00
Atoms (fractional coordinates):
Cu 0.0000 0.0000 0.0000
Pd 0.6257 0.6257 0.1229
Pd 0.6257 0.1229 0.6257
Pd 0.6257 0.6257 0.6257
Pd 0.1229 0.6257 0.6257
Th 0.2500 0.2500 0.2500

Output
Energy of formation   -0.546 eV per atom
Volume   108.34 Å³ per cell
ΔE to the lowest computed polymorph   0 kJ/mol of formula units

A plane-wave DFT calculation with PBE was carried out for Th2CuPd3 after structural relaxation.

a b c (Å): 6.0327 6.0327 8.7735
angles (deg): 115.82 115.82 74.53
Atoms (fractional coordinates):
Th 0.7500 0.2500 0.5000
Th 0.7486 0.2514 0.0000
Th 0.2500 0.7500 0.5000
Th 0.2514 0.7486 0.0000
Cu 0.6687 0.6687 0.3375
Cu 0.3313 0.3313 0.6625
Pd 0.8284 0.8284 0.1840
Pd 0.6443 0.6443 0.8160
Pd 0.1716 0.1716 0.8160
Pd 0.3557 0.3557 0.1840
Pd 0.1583 0.1583 0.3166
Pd 0.8417 0.8417 0.6834

Output
Energy of formation   -0.650 eV per atom
Volume   257.56 Å³ per cell
ΔE to the lowest computed polymorph   14 kJ/mol of formula units

A plane-wave DFT calculation with PBE was carried out for ThCuPd3 after structural relaxation.

a b c (Å): 4.7981 6.9755 5.8278
angles (deg): 90.00 90.00 110.12
Atoms (fractional coordinates):
Th 0.1986 0.3972 0.2500
Th 0.8014 0.6028 0.7500
Cu 0.0000 0.0000 0.0000
Cu 0.0000 0.0000 0.5000
Pd 0.8335 0.6669 0.2500
Pd 0.1665 0.3331 0.7500
Pd 0.6068 0.2135 0.0024
Pd 0.3932 0.7865 0.5024
Pd 0.6068 0.2135 0.4976
Pd 0.3932 0.7865 0.9976

Output
Energy of formation   -0.554 eV per atom
Volume   183.15 Å³ per cell
ΔE to the lowest computed polymorph   0 kJ/mol of formula units

A plane-wave DFT calculation with PBE was carried out for Th3Cu9Pd2 after structural relaxation.

a b c (Å): 4.2619 8.0581 8.0581
angles (deg): 66.19 74.67 74.67
Atoms (fractional coordinates):
Th 0.0000 0.0000 0.0000
Th 0.6914 0.3086 0.3086
Th 0.3086 0.6914 0.6914
Cu 0.0000 0.5000 0.5000
Cu 0.6775 0.9651 0.6800
Cu 0.3225 0.0349 0.3200
Cu 0.6775 0.6800 0.9651
Cu 0.3225 0.3200 0.0349
Cu 0.8742 0.8477 0.4040
Cu 0.1258 0.1523 0.5960
Cu 0.8742 0.4040 0.8477
Cu 0.1258 0.5960 0.1523
Pd 0.5000 0.2907 0.7093
Pd 0.5000 0.7093 0.2907

Output
Energy of formation   -0.279 eV per atom
Volume   240.24 Å³ per cell

A plane-wave DFT calculation with PBE was carried out for ThCuPd3 after structural relaxation.

a b c (Å): 5.1341 5.1341 9.1949
angles (deg): 106.21 106.21 90.00
Atoms (fractional coordinates):
Th 0.6221 0.1221 0.2442
Th 0.8779 0.3779 0.7558
Cu 0.0000 0.0000 0.0000
Cu 0.2500 0.7500 0.5000
Pd 0.6211 0.8760 0.7520
Pd 0.1240 0.8691 0.2480
Pd 0.1240 0.3789 0.2480
Pd 0.1309 0.8760 0.7520
Pd 0.2808 0.2808 0.5617
Pd 0.7192 0.7192 0.4383

Output
Energy of formation   -0.200 eV per atom
Volume   222.68 Å³ per cell
ΔE to the lowest computed polymorph   171 kJ/mol of formula units

A plane-wave DFT calculation with PBE was carried out for ThCu8Pd3 after structural relaxation.

a b c (Å): 4.9792 4.9792 8.0545
angles (deg): 90.00 90.00 120.00
Atoms (fractional coordinates):
Th 0.0000 0.0000 0.5663
Cu 0.3333 0.6667 0.4973
Cu 0.3333 0.6667 0.9985
Cu 0.5037 0.0075 0.7640
Cu 0.5037 0.4963 0.7640
Cu 0.9925 0.4963 0.7640
Cu 0.1650 0.3299 0.2384
Cu 0.1650 0.8350 0.2384
Cu 0.6701 0.8350 0.2384
Pd 0.6667 0.3333 0.4263
Pd 0.6667 0.3333 0.0647
Pd 0.0000 0.0000 0.9395

Output
Energy of formation   -0.184 eV per atom
Volume   172.94 Å³ per cell

A plane-wave DFT calculation with PBE was carried out for Th4CuPd after structural relaxation.

a b c (Å): 7.1579 7.1579 8.0642
angles (deg): 116.35 116.35 90.00
Atoms (fractional coordinates):
Th 0.4716 0.9716 0.2694
Th 0.9716 0.7978 0.2694
Th 0.2978 0.4716 0.2694
Th 0.7022 0.5284 0.7306
Th 0.0284 0.2022 0.7306
Th 0.5284 0.0284 0.7306
Th 0.2022 0.7022 0.7306
Th 0.7978 0.2978 0.2694
Cu 0.2500 0.2500 0.5000
Cu 0.7500 0.7500 0.5000
Pd 0.5000 0.5000 0.0000
Pd 0.0000 0.0000 0.0000

Output
Energy of formation   -0.178 eV per atom
Volume   321.66 Å³ per cell
ΔE to the lowest computed polymorph   70 kJ/mol of formula units

A plane-wave DFT calculation with PBE was carried out for Th3Cu3Pd2 after structural relaxation.

a b c (Å): 4.3421 5.6460 15.0884
angles (deg): 90.00 90.00 112.61
Atoms (fractional coordinates):
Th 0.9005 0.8010 0.4034
Th 0.0995 0.1990 0.9034
Th 0.9005 0.8010 0.0966
Th 0.0995 0.1990 0.5966
Th 0.6342 0.2684 0.2500
Th 0.3658 0.7316 0.7500
Cu 0.6014 0.2028 0.4574
Cu 0.3986 0.7972 0.9574
Cu 0.6014 0.2028 0.0426
Cu 0.3986 0.7972 0.5426
Cu 0.3566 0.7131 0.2500
Cu 0.6434 0.2869 0.7500
Pd 0.8024 0.6049 0.8880
Pd 0.1976 0.3951 0.3880
Pd 0.8024 0.6049 0.6120
Pd 0.1976 0.3951 0.1120

Output
Energy of formation   -0.431 eV per atom
Volume   341.46 Å³ per cell